No. 1
BaCa3Pt: optimized geometry, PBE-GGA.

Unit cell a=6.492 b=6.492 c=10.957 alpha=72.77 beta=72.77 gamma=90.00
Fractional positions:
Ca 0.619 0.871 0.258
Ca 0.129 0.381 0.742
Ca 0.129 0.877 0.742
Ca 0.123 0.871 0.258
Ca 0.291 0.291 0.417
Ca 0.709 0.709 0.583
Ba 0.546 0.046 0.908
Ba 0.954 0.454 0.092
Pt 0.000 0.000 0.000
Pt 0.250 0.750 0.500

Values from the calculation:
Formation energy: -1.18 eV per formula unit
Energy above the most stable polymorph in this dataset: 226 meV/atom
Calculated density: 3.59 g/cm3
E_tot: -3.03 eV/atom

***

No. 2
Na2CeTcO6: optimized geometry, PBE-GGA.

Unit cell a=4.438 b=5.786 c=5.786 alpha=90.00 beta=90.00 gamma=90.00
Each line ends with the local moment (μB).
Fractional positions:
Na 0.021 0.500 0.000  0.00
Na 0.021 0.000 0.500  0.00
Ce 0.643 0.500 0.500  0.09
Tc 0.591 0.000 0.000  0.45
O 0.702 0.225 0.225  0.02
O 0.702 0.225 0.775  0.02
O 0.160 0.500 0.500  0.00
O 0.202 0.000 0.000  -0.02
O 0.702 0.775 0.775  0.02
O 0.702 0.775 0.225  0.02

Values from the calculation:
Formation energy from raw total energies: -2.051 eV/atom
Calculated density: 4.25 g/cm3
E_tot: -6.92 eV/atom

***

No. 3
PrPdPt: optimized geometry, PBE-GGA.

Unit cell a=5.557 b=5.544 c=5.544 alpha=59.77 beta=59.93 gamma=59.93
Fractional positions:
Pr 0.876 0.374 0.374
Pr 0.124 0.626 0.626
Pd 0.500 0.500 0.000
Pd 0.500 0.000 0.500
Pt 0.000 0.000 0.000
Pt 0.500 0.000 0.000

Values from the calculation:
Formation energy: -2.69 eV per formula unit
Energy above the most stable polymorph in this dataset: 0 meV/atom
Calculated density: 12.20 g/cm3
E_tot: -6.24 eV/atom

***

No. 4
TbSmHoEr2: optimized geometry, PBE-GGA.

Unit cell a=7.168 b=8.348 c=7.065 alpha=126.21 beta=90.00 gamma=90.00
Fractional positions:
Tb 0.250 0.999 0.997
Tb 0.750 0.001 0.003
Sm 0.250 0.726 0.452
Sm 0.750 0.274 0.548
Ho 0.750 0.723 0.445
Ho 0.250 0.277 0.555
Er 0.500 0.311 0.000
Er 0.000 0.689 0.000
Er 0.500 0.689 0.000
Er 0.000 0.311 0.000

Values from the calculation:
Formation energy: 1.97 eV per formula unit
Calculated density: 7.87 g/cm3
E_tot: -4.22 eV/atom

***

No. 5
SiTc4Os: optimized geometry, PBE-GGA.

Unit cell a=5.045 b=5.045 c=5.045 alpha=60.00 beta=60.00 gamma=60.00
Fractional positions:
Si 0.000 0.000 0.000
Tc 0.877 0.374 0.374
Tc 0.374 0.374 0.877
Tc 0.374 0.877 0.374
Tc 0.374 0.374 0.374
Os 0.750 0.750 0.750

Values from the calculation:
Formation energy from raw total energies: 0.584 eV/atom
Calculated density: 11.16 g/cm3
E_tot: -9.10 eV/atom

***

No. 6
Y2Ho3Zn2: optimized geometry, PBE-GGA.

Unit cell a=3.532 b=3.507 c=15.383 alpha=90.00 beta=83.41 gamma=90.00
Fractional positions:
Y 0.700 0.500 0.599
Y 0.300 0.500 0.401
Ho 0.883 0.000 0.234
Ho 0.000 0.000 0.000
Ho 0.117 0.000 0.766
Zn 0.557 0.500 0.885
Zn 0.443 0.500 0.115

Values from the calculation:
Formation energy: -0.88 eV per formula unit
Energy above the most stable polymorph in this dataset: 42 meV/atom
Calculated density: 7.05 g/cm3
E_tot: -4.30 eV/atom

***

No. 7
PuAg2Sn: optimized geometry, PBE-GGA.

Unit cell a=4.418 b=4.602 c=4.602 alpha=90.00 beta=90.00 gamma=90.00
Each line ends with the local moment (μB).
Fractional positions:
Sn 0.500 0.000 0.000  0.01
Ag 0.000 0.000 0.500  0.05
Ag 0.000 0.500 0.000  0.05
Pu 0.500 0.500 0.500  5.38

Values from the calculation:
Formation energy: 0.08 eV per formula unit
Calculated density: 10.27 g/cm3
E_tot: -5.99 eV/atom

***

No. 8
BaGeTe2: optimized geometry, PBE-GGA.

Unit cell a=7.195 b=7.195 c=8.925 alpha=66.23 beta=66.23 gamma=90.00
Fractional positions:
Ge 0.500 0.500 0.000
Ge 0.250 0.750 0.500
Te 0.563 0.125 0.250
Te 0.187 0.625 0.250
Te 0.375 0.437 0.750
Te 0.875 0.813 0.750
Ba 0.000 0.000 0.000
Ba 0.750 0.250 0.500

Values from the calculation:
Formation energy from raw total energies: -0.657 eV/atom
Calculated density: 4.07 g/cm3
E_tot: -3.86 eV/atom

***

Please write out number 3 again, unchanged.
PrPdPt: optimized geometry, PBE-GGA.

Unit cell a=5.557 b=5.544 c=5.544 alpha=59.77 beta=59.93 gamma=59.93
Fractional positions:
Pr 0.876 0.374 0.374
Pr 0.124 0.626 0.626
Pd 0.500 0.500 0.000
Pd 0.500 0.000 0.500
Pt 0.000 0.000 0.000
Pt 0.500 0.000 0.000

Values from the calculation:
Formation energy: -2.69 eV per formula unit
Energy above the most stable polymorph in this dataset: 0 meV/atom
Calculated density: 12.20 g/cm3
E_tot: -6.24 eV/atom

***

Which of these has the highest calculated density? PrPdPt